Entry 1:
The following is a GGA-PBE calculation of PrHfZrN3 after structural relaxation, from Alexandria via LeMat-Bulk.

a b c (Å): 5.7466 3.3811 8.7730
angles (deg): 90.00 102.73 90.00
Closest atoms and distances in Å follow each position.
Space group P2_1/m (No. 11)
One atom of each set of equivalent atoms:
Pr  0.1528  0.2500  0.1923  7 N 2.58-2.66
Hf  0.2655  0.7500  0.5406  6 N 2.18-2.38
Zr  0.3633  0.2500  0.8542  5 N 2.23-2.28
N  0.0573  0.2500  0.6468  3 Hf 2.19-2.38, 1 Zr 2.23
N  0.2627  0.7500  0.9937  3 Zr 2.24-2.27
N  0.4677  0.7500  0.3574  3 Hf 2.18-2.32, 1 Zr 2.28

Calculated values
The electronic total energy is -9.57 eV/atom. The mass density comes out at 9041 kg/m³. The value obtained for the size of the total moment is 0.0 μB per cell.



Entry 2:
The following is a GGA-PBE calculation of Y2MnVW after structural relaxation, from Alexandria via LeMat-Bulk.

a b c (Å): 5.2542 5.2542 4.0975
angles (deg): 90.00 90.00 90.00
Closest atoms and distances in Å follow each position.
Space group P4/mmm (No. 123)
One atom of each set of equivalent atoms:
Y  0.0000  0.5000  0.0000  2 Mn 2.63
Mn  0.0000  0.0000  0.0000  2 V 2.05
V  0.0000  0.0000  0.5000  2 Mn 2.05
W  0.5000  0.5000  0.5000  8 Y 3.33, 4 V 3.72

Calculated values
The electronic total energy is -7.79 eV/atom. The mass density comes out at 6863 kg/m³. The value obtained for the size of the total moment is 2.3 μB per cell.